No. 1
Crystalline K3Ce3CdO8 at its relaxed geometry, computed with PBE.

```
K3Ce3CdO8
1.0
3.557 2.054 6.271
-3.557 2.054 6.271
0.000 -4.107 6.271
K Ce Cd O
3 3 1 8
Direct
0.000 0.500 0.500
0.500 0.000 0.500
0.500 0.500 0.000
0.000 0.000 0.500
0.000 0.500 0.000
0.500 0.000 0.000
0.500 0.500 0.500
0.213 0.733 0.733
0.230 0.230 0.230
0.267 0.267 0.787
0.267 0.787 0.267
0.733 0.213 0.733
0.733 0.733 0.213
0.770 0.770 0.770
0.787 0.267 0.267
```

Summary:
ΔE_f (raw): -2.477 eV/atom
crystal system: trigonal


No. 2
Crystalline CdInTeSe at its relaxed geometry, computed with PBE.

```
CdInTeSe
1.0
3.767 -2.175 0.000
3.767 2.175 0.000
-0.016 0.000 8.054
Cd In Te Se
1 1 1 1
Direct
0.000 0.000 0.000
0.000 0.000 0.648
0.334 0.334 0.152
0.666 0.666 0.506
```

Summary:
ΔE_f (raw): -0.243 eV/atom
crystal system: monoclinic


No. 3
Crystalline Ba4NaN at its relaxed geometry, computed with PBE.

```
Ba4NaN
1.0
10.422 -4.120 0.000
10.422 4.120 0.000
-1.987 0.000 6.940
Ba Na N
8 2 2
Direct
0.118 0.661 0.333
0.191 0.191 0.180
0.213 0.787 0.000
0.339 0.882 0.667
0.661 0.118 0.333
0.787 0.213 0.000
0.809 0.809 0.820
0.882 0.339 0.667
0.314 0.314 0.789
0.686 0.686 0.211
0.087 0.087 0.893
0.913 0.913 0.107
```

Summary:
ΔE_f (raw): -0.153 eV/atom
crystal system: monoclinic
offset from the most stable computed form: 0.031 eV/atom


No. 4
Crystalline CsFe at its relaxed geometry, computed with PBE.

```
CsFe
1.0
7.617 0.000 0.000
0.000 7.617 0.000
0.000 0.000 7.223
Cs Fe
4 4
Direct
0.182 0.182 0.000
0.318 0.682 0.500
0.682 0.318 0.500
0.818 0.818 0.000
0.098 0.098 0.500
0.402 0.598 0.000
0.598 0.402 0.000
0.902 0.902 0.500
```

Summary:
crystal system: tetragonal
formation energy from the elements: 239 kJ/mol of formula units
offset from the most stable computed form: 0.384 eV/atom


No. 5
Crystalline Sc5Pb at its relaxed geometry, computed with PBE.

```
Sc5Pb
1.0
5.684 0.000 0.000
-2.842 4.922 0.000
0.000 0.000 5.173
Sc Pb
5 1
Direct
0.000 0.678 0.000
0.322 0.322 0.000
0.333 0.667 0.500
0.667 0.333 0.500
0.678 0.000 0.000
0.000 0.000 0.500
```

Summary:
crystal system: hexagonal
formation energy from the elements: -78 kJ/mol of formula units


No. 6
Crystalline PbW at its relaxed geometry, computed with PBE.

```
PbW
1.0
1.782 -5.382 0.000
1.782 5.382 0.000
0.000 0.000 4.482
Pb W
2 2
Direct
0.158 0.842 0.750
0.842 0.158 0.250
0.437 0.563 0.750
0.563 0.437 0.250
```

Summary:
crystal system: orthorhombic
formation energy from the elements: 174 kJ/mol of formula units
offset from the most stable computed form: 0.407 eV/atom


No. 7
Crystalline NdLuMgRh at its relaxed geometry, computed with PBE.

```
NdLuMgRh
1.0
0.000 3.597 3.597
3.597 0.000 3.597
3.597 3.597 0.000
Nd Lu Mg Rh
1 1 1 1
Direct
0.000 0.000 0.000
0.500 0.500 0.500
0.250 0.250 0.250
0.750 0.750 0.750
```

Summary:
crystal system: cubic
formation energy from the elements: -144 kJ/mol of formula units


No. 8
Crystalline Tb2Zn3Ni12Rh at its relaxed geometry, computed with PBE.

```
Tb2Zn3Ni12Rh
1.0
2.545 1.469 11.564
-2.545 1.469 11.564
0.000 -2.939 11.564
Tb Zn Ni Rh
2 3 12 1
Direct
0.142 0.142 0.142
0.858 0.858 0.858
0.000 0.500 0.500
0.500 0.000 0.500
0.500 0.500 0.000
0.103 0.103 0.630
0.103 0.630 0.103
0.112 0.606 0.606
0.370 0.897 0.897
0.394 0.394 0.888
0.394 0.888 0.394
0.606 0.112 0.606
0.606 0.606 0.112
0.630 0.103 0.103
0.888 0.394 0.394
0.897 0.370 0.897
0.897 0.897 0.370
0.500 0.500 0.500
```

Summary:
crystal system: trigonal
formation energy from the elements: 34 kJ/mol of formula units


No. 9
Crystalline ScZnFe at its relaxed geometry, computed with PBE.

```
ScZnFe
1.0
-2.513 2.553 3.596
2.513 -2.553 3.596
2.513 2.553 -3.596
Sc Zn Fe
2 2 2
Direct
0.366 0.116 0.250
0.634 0.884 0.750
0.000 0.500 0.500
0.500 0.500 0.000
0.000 0.000 0.500
0.000 0.500 0.000
```

Summary:
crystal system: orthorhombic
formation energy from the elements: -64 kJ/mol of formula units


No. 10
Crystalline LiSi3Cl at its relaxed geometry, computed with PBE.

```
LiSi3Cl
1.0
4.810 0.000 0.000
0.000 4.810 0.000
0.000 0.000 4.810
Li Si Cl
1 3 1
Direct
0.000 0.000 0.000
0.000 0.500 0.500
0.500 0.000 0.500
0.500 0.500 0.000
0.500 0.500 0.500
```

Summary:
ΔE_f (raw): 0.979 eV/atom
crystal system: cubic
offset from the most stable computed form: 0.115 eV/atom


No. 11
Crystalline Cs4UPa3Se12 at its relaxed geometry, computed with PBE.

```
Cs4UPa3Se12
1.0
-5.539 5.539 5.539
5.539 -5.539 5.539
5.539 5.539 -5.539
Cs U Pa Se
4 1 3 12
Direct
0.000 0.000 0.500
0.000 0.500 0.000
0.500 0.000 0.000
0.500 0.500 0.500
0.000 0.000 0.000
0.000 0.500 0.500
0.500 0.000 0.500
0.500 0.500 0.000
0.000 0.249 0.249
0.000 0.751 0.751
0.249 0.000 0.249
0.249 0.249 0.000
0.250 0.500 0.750
0.250 0.750 0.500
0.500 0.250 0.750
0.500 0.750 0.250
0.750 0.250 0.500
0.750 0.500 0.250
0.751 0.000 0.751
0.751 0.751 0.000
```

Summary:
ΔE_f (raw): -1.370 eV/atom
crystal system: cubic


No. 12
Crystalline Y2Co2Pb at its relaxed geometry, computed with PBE.

```
Y2Co2Pb
1.0
-1.732 1.732 9.132
1.732 -1.732 9.132
1.732 1.732 -9.132
Y Co Pb
2 2 1
Direct
0.127 0.127 0.000
0.873 0.873 0.000
0.250 0.750 0.500
0.750 0.250 0.500
0.500 0.500 0.000
```

Summary:
crystal system: tetragonal
formation energy from the elements: -47 kJ/mol of formula units


No. 13
Crystalline BeRhBr at its relaxed geometry, computed with PBE.

```
BeRhBr
1.0
3.138 0.000 0.000
-1.569 2.718 0.000
0.000 0.000 5.354
Be Rh Br
1 1 1
Direct
0.000 0.000 0.000
0.333 0.667 0.718
0.667 0.333 0.289
```

Summary:
ΔE_f (raw): 0.184 eV/atom
crystal system: trigonal
offset from the most stable computed form: 0.613 eV/atom


No. 14
Crystalline CaCuTe2 at its relaxed geometry, computed with PBE.

```
CaCuTe2
1.0
2.160 -3.379 0.000
2.160 3.379 0.000
0.000 0.000 7.664
Ca Cu Te
1 1 2
Direct
0.000 0.000 0.000
0.000 0.000 0.500
0.500 0.500 0.278
0.500 0.500 0.722
```

Summary:
ΔE_f (raw): -0.410 eV/atom
crystal system: orthorhombic


No. 15
Crystalline Sr2LaTl at its relaxed geometry, computed with PBE.

```
Sr2LaTl
1.0
-4.853 4.853 3.540
4.853 -4.853 3.540
4.853 4.853 -3.540
Sr La Tl
4 2 2
Direct
0.077 0.125 0.452
0.375 0.923 0.048
0.673 0.625 0.548
0.875 0.327 0.952
0.250 0.750 0.500
0.500 0.500 0.000
0.000 0.000 0.000
0.750 0.250 0.500
```

Summary:
crystal system: tetragonal
formation energy from the elements: 29 kJ/mol of formula units
offset from the most stable computed form: 0.236 eV/atom


No. 16
Crystalline MgSi2Ge at its relaxed geometry, computed with PBE.

```
MgSi2Ge
1.0
-3.098 3.098 5.154
3.098 -3.098 5.154
3.098 3.098 -5.154
Mg Si Ge
2 4 2
Direct
0.000 0.000 0.000
0.750 0.250 0.500
0.160 0.625 0.035
0.375 0.410 0.535
0.590 0.125 0.965
0.875 0.840 0.465
0.250 0.750 0.500
0.500 0.500 0.000
```

Summary:
ΔE_f (raw): 0.416 eV/atom
crystal system: tetragonal
offset from the most stable computed form: 0.038 eV/atom


No. 17
Crystalline Cu2AgBi at its relaxed geometry, computed with PBE.

```
Cu2AgBi
1.0
-2.087 2.087 9.159
2.087 -2.087 9.159
2.087 2.087 -9.159
Cu Ag Bi
4 2 2
Direct
0.085 0.625 0.960
0.375 0.335 0.460
0.665 0.125 0.040
0.875 0.915 0.540
0.000 0.000 0.000
0.750 0.250 0.500
0.250 0.750 0.500
0.500 0.500 0.000
```

Summary:
crystal system: tetragonal
formation energy from the elements: 146 kJ/mol of formula units


No. 18
Crystalline MgCd3Ni8 at its relaxed geometry, computed with PBE.

```
MgCd3Ni8
1.0
2.442 1.410 7.939
-2.442 1.410 7.939
0.000 -2.820 7.939
Mg Cd Ni
1 3 8
Direct
0.000 0.000 0.000
0.124 0.124 0.124
0.500 0.500 0.500
0.626 0.626 0.626
0.062 0.562 0.562
0.063 0.063 0.564
0.063 0.564 0.063
0.313 0.313 0.313
0.562 0.062 0.562
0.562 0.562 0.062
0.564 0.063 0.063
0.813 0.813 0.813
```

Summary:
crystal system: trigonal
formation energy from the elements: -45 kJ/mol of formula units


No. 19
Crystalline LiDy2NpSe5 at its relaxed geometry, computed with PBE.

```
LiDy2NpSe5
1.0
2.029 -8.487 0.000
2.029 8.487 0.000
0.000 0.000 12.413
Li Dy Np Se
2 4 2 10
Direct
0.017 0.983 0.500
0.983 0.017 0.000
0.374 0.626 0.317
0.391 0.609 0.708
0.609 0.391 0.208
0.626 0.374 0.817
0.303 0.697 0.026
0.697 0.303 0.526
0.001 0.999 0.806
0.134 0.866 0.024
0.191 0.809 0.361
0.213 0.787 0.689
0.455 0.545 0.099
0.545 0.455 0.599
0.787 0.213 0.189
0.809 0.191 0.861
0.866 0.134 0.524
0.999 0.001 0.306
```

Summary:
ΔE_f (raw): -1.456 eV/atom
crystal system: orthorhombic


No. 20
Crystalline BaRuPtSe2 at its relaxed geometry, computed with PBE.

```
BaRuPtSe2
1.0
4.692 0.000 0.000
0.000 4.692 0.000
0.000 0.000 6.517
Ba Ru Pt Se
1 1 1 2
Direct
0.000 0.000 0.000
0.000 0.000 0.500
0.500 0.500 0.000
0.000 0.500 0.500
0.500 0.000 0.500
```

Summary:
ΔE_f (raw): 0.169 eV/atom
crystal system: tetragonal


No. 21
Crystalline CaTeAu2 at its relaxed geometry, computed with PBE.

```
CaTeAu2
1.0
4.043 0.000 0.000
0.000 4.487 0.000
-0.131 0.000 5.961
Ca Te Au
1 1 2
Direct
0.000 0.000 0.000
0.505 0.500 0.257
0.493 0.000 0.543
0.493 0.500 0.799
```

Summary:
ΔE_f (raw): -0.562 eV/atom
crystal system: monoclinic
offset from the most stable computed form: 0.024 eV/atom


No. 22
Crystalline BTe3Os at its relaxed geometry, computed with PBE.

```
BTe3Os
1.0
5.244 0.000 0.000
0.000 5.244 0.000
0.000 0.000 5.244
B Te Os
1 3 1
Direct
0.000 0.000 0.000
0.000 0.500 0.500
0.500 0.000 0.500
0.500 0.500 0.000
0.500 0.500 0.500
```

Summary:
ΔE_f (raw): 1.568 eV/atom
crystal system: cubic
offset from the most stable computed form: 0.232 eV/atom


No. 23
Crystalline CuNi2Ru at its relaxed geometry, computed with PBE.

```
CuNi2Ru
1.0
2.610 0.000 0.000
0.000 2.610 0.000
0.000 0.000 7.032
Cu Ni Ru
1 2 1
Direct
0.000 0.000 0.000
0.500 0.500 0.246
0.500 0.500 0.754
0.000 0.000 0.500
```

Summary:
crystal system: tetragonal
formation energy from the elements: 33 kJ/mol of formula units
offset from the most stable computed form: 0.000 eV/atom


No. 24
Crystalline PmNiSn2 at its relaxed geometry, computed with PBE.

```
PmNiSn2
1.0
2.179 1.258 5.615
-2.179 1.258 5.615
0.000 -2.516 5.615
Pm Ni Sn
1 1 2
Direct
0.000 0.000 0.000
0.500 0.500 0.500
0.220 0.220 0.220
0.780 0.780 0.780
```

Summary:
crystal system: trigonal
formation energy from the elements: -194 kJ/mol of formula units
offset from the most stable computed form: 0.086 eV/atom


No. 25
Crystalline Cd2MoOs at its relaxed geometry, computed with PBE.

```
Cd2MoOs
1.0
-1.574 2.272 4.871
1.574 -2.272 4.871
1.574 2.272 -4.871
Cd Mo Os
2 1 1
Direct
0.244 0.244 0.000
0.756 0.756 0.000
0.500 0.000 0.500
0.000 0.500 0.500
```

Summary:
crystal system: orthorhombic
formation energy from the elements: 227 kJ/mol of formula units
offset from the most stable computed form: 0.400 eV/atom


The evaluated raw total energy for the records listed, in turn: -6.5892 -2.8130 -3.0427 -3.4186 -6.0282 -7.4295 -4.9310 -4.9697 -5.5788 -3.0264 -5.6205 -6.2664 -4.0657 -3.5055 -2.5897 -3.8480 -3.3530 -4.2551 -6.0652 -4.6726 -3.4862 -3.8986 -6.1474 -5.1369 -5.3834 eV/atom.
The evaluated V for the records listed, in turn: 18.3 33.0 49.7 52.4 24.1 21.5 23.3 14.4 15.4 22.3 34.0 21.9 15.2 28.0 41.7 24.7 19.9 13.7 23.7 28.7 27.0 28.8 12.0 23.1 17.4 A^3/atom.